A plane-wave DFT calculation with PBE was carried out for an optimized crystal structure of Ag6PdPt2.

a b c (Å): 2.7747 7.8877 14.2640
angles (deg): 90.00 90.00 90.00
Space group Immm (No. 71)
Unique sites:
Ag1 0.0000 0.1736 0.1708 x8
Ag2 0.0000 0.3252 0.0000 x4
Pd1 0.0000 0.5000 0.5000 x2
Pt1 0.0000 0.0000 0.3463 x4

Properties
Polymorph energy (0 for the lowest one) in eV/atom: 0.030
Formation energy from the elements in eV/atom: 0.0731
Total energy in eV per atom: -3.75



A plane-wave DFT calculation with PBE was carried out for an optimized crystal structure of Ga2ReBAu.

a b c (Å): 4.8451 4.8451 5.0264
angles (deg): 90.00 90.00 90.00
Space group P4/mmm (No. 123)
Unique sites:
Ga1 0.0000 0.5000 0.0000 x2
Re1 0.0000 0.0000 0.0000 x1
B1 0.5000 0.5000 0.5000 x1
Au1 0.0000 0.0000 0.5000 x1

Properties
Formation energy from the elements in eV/atom: 1.4750
Total energy in eV per atom: -4.22



A plane-wave DFT calculation with PBE was carried out for an optimized crystal structure of TbInRu.

a b c (Å): 5.5289 10.3076 8.9113
angles (deg): 90.00 90.00 90.00
Space group Fdd2 (No. 43)
Unique sites:
Tb1 0.0000 0.0000 0.0000 x8
In1 0.0000 0.0000 0.6430 x8
Ru1 0.0000 0.0000 0.3201 x8

Properties
Formation energy from the elements in eV/atom: -0.1628
Total energy in eV per atom: -5.71



A plane-wave DFT calculation with PBE was carried out for an optimized crystal structure of HfGa2Br4F2.

a b c (Å): 13.5456 7.8420 5.8181
angles (deg): 90.00 102.46 90.00
Space group C2/m (No. 12)
Unique sites:
Hf1 0.0000 0.0000 0.0000 x2
Ga1 0.2248 0.0000 0.6523 x4
Br1 0.1033 0.2377 0.8322 x8
F1 0.1033 0.0000 0.2999 x4

Properties
Total energy in eV per atom: -4.58
Formation energy from raw total energies in eV/atom: -1.64